## SiSnS3 (PBE)

Data for SiSnS3 after structural relaxation.

As for the total energy: -95.03 eV for the cell shown. The value obtained for the total magnetization is 0.000 μB per cell. As for the formation energy without anion corrections: -0.3896 eV per atom. Its density of states at the Fermi level is 0.00 states/eV/cell.

The structure belongs to space group Ima2 (No. 46); the cell edges are 6.815, 8.769 and 12.070 Å and the angles 90.00°, 90.00° and 90.00°. Symmetry generates all atoms from Si at (0.250, 0.181, 0.000), Sn at (0.250, 0.707, 0.403), S at (0.011, 0.726, 0.577) and S at (0.250, 0.092, 0.843).

***

## Na4LaTl15 (PBE)

Data for Na4LaTl15 after structural relaxation.

As for the total energy: -47.98 eV for the cell shown. The value obtained for the total magnetization is 0.000 μB per cell. As for the formation energy: -113.9 meV/atom. Its density of states at the Fermi level is 11.34 states/eV/cell.

The structure belongs to space group P4/mmm (No. 123); the cell edges are 4.865, 4.865 and 24.540 Å and the angles 90.00°, 90.00° and 90.00°. Symmetry generates all atoms from Na at (0.000, 0.000, 0.100), Na at (0.000, 0.000, 0.302), La at (0.000, 0.000, 0.500), Tl at (0.000, 0.500, 0.000), Tl at (0.000, 0.500, 0.200), Tl at (0.000, 0.500, 0.399), Tl at (0.500, 0.500, 0.099), Tl at (0.500, 0.500, 0.303) and Tl at (0.500, 0.500, 0.500).